1.
Material: CrPdSe2Br
Method: DFT, PBEsol
State: relaxed

Lattice parameters (Å, degrees): 4.639 4.639 5.027 90.00 90.00 90.00
Atoms (fractional coordinates):
Cr1 0.000 0.000 0.000
Pd1 0.500 0.500 0.500
Se1 0.000 0.500 0.000
Se2 0.500 0.000 0.000
Br1 0.000 0.000 0.500

Summary:
Its symmetry is P4/mmm, No. 123. For the magnetic moment, the calculation gives 0.2839 μB/atom. Its energy relative to the elements, uncorrected is 0.39 eV per atom. For the uncorrected energy, the calculation gives -4.7640 eV per atom.

2.
Material: MgCl2
Method: DFT, PBEsol
State: relaxed

Lattice parameters (Å, degrees): 3.625 3.625 18.165 90.00 90.00 120.00
Atoms (fractional coordinates):
Mg1 0.000 0.000 0.000
Mg2 0.333 0.667 0.667
Mg3 0.667 0.333 0.333
Cl1 0.000 0.000 0.258
Cl2 0.000 0.000 0.742
Cl3 0.333 0.667 0.409
Cl4 0.333 0.667 0.925
Cl5 0.667 0.333 0.075
Cl6 0.667 0.333 0.591

Summary:
Its symmetry is R-3m, No. 166. For the magnetic moment, the calculation gives 0.0000 μB/atom. Its energy relative to the elements, uncorrected is -1.86 eV per atom. For the uncorrected energy, the calculation gives -3.7745 eV per atom.

3.
Material: BeTlMo2
Method: DFT, PBEsol
State: relaxed

Lattice parameters (Å, degrees): 6.282 6.282 6.282 90.00 90.00 90.00
Atoms (fractional coordinates):
Be1 0.000 0.000 0.000
Be2 0.000 0.500 0.500
Be3 0.500 0.000 0.500
Be4 0.500 0.500 0.000
Tl1 0.250 0.250 0.750
Tl2 0.250 0.750 0.250
Tl3 0.750 0.250 0.250
Tl4 0.750 0.750 0.750
Mo1 0.000 0.000 0.500
Mo2 0.000 0.500 0.000
Mo3 0.250 0.250 0.250
Mo4 0.250 0.750 0.750
Mo5 0.500 0.000 0.000
Mo6 0.500 0.500 0.500
Mo7 0.750 0.250 0.750
Mo8 0.750 0.750 0.250

Summary:
Its symmetry is F-43m, No. 216. As for the energy above the most stable polymorph in this dataset: 0.50 eV per formula unit. For the magnetic moment, the calculation gives 0.0000 μB/atom. The calculated formation energy comes out at 0.64 eV per atom. For the uncorrected energy, the calculation gives -6.8975 eV per atom.

4.
Material: KNbAg2N
Method: DFT, PBEsol
State: relaxed

Lattice parameters (Å, degrees): 5.396 5.396 3.995 90.00 90.00 90.00
Atoms (fractional coordinates):
K1 0.000 0.000 0.000
Nb1 0.500 0.500 0.500
Ag1 0.000 0.500 0.500
Ag2 0.500 0.000 0.500
N1 0.500 0.500 0.000

Summary:
Its symmetry is P4/mmm, No. 123. For the magnetic moment, the calculation gives 0.0001 μB/atom. Its energy relative to the elements, uncorrected is 0.50 eV per atom. For the uncorrected energy, the calculation gives -4.9191 eV per atom.

5.
Material: BeHS2N
Method: DFT, PBEsol
State: relaxed

Lattice parameters (Å, degrees): 3.269 3.269 5.908 90.00 90.00 90.00
Atoms (fractional coordinates):
Be1 0.000 0.000 0.000
H1 0.500 0.500 0.500
S1 0.000 0.500 0.500
S2 0.500 0.000 0.500
N1 0.500 0.500 0.000

Summary:
Its symmetry is P4/mmm, No. 123. As for the energy above the most stable polymorph in this dataset: 1.32 eV per formula unit. For the magnetic moment, the calculation gives 0.2281 μB/atom. For the uncorrected energy, the calculation gives -3.5564 eV per atom.

6.
Material: Mn2Sb
Method: DFT, PBEsol
State: relaxed

Lattice parameters (Å, degrees): 3.850 3.850 6.227 90.00 90.00 90.00
Atoms (fractional coordinates):
Mn1 0.250 0.250 0.232
Mn2 0.250 0.750 0.500
Mn3 0.750 0.250 0.500
Mn4 0.750 0.750 0.768
Sb1 0.250 0.250 0.799
Sb2 0.750 0.750 0.201

Summary:
Its symmetry is P4/nmm, No. 129. For the magnetic moment, the calculation gives 0.4956 μB/atom. Its energy relative to the elements, uncorrected is 0.09 eV per atom. For the uncorrected energy, the calculation gives -7.9350 eV per atom.

7.
Material: NdCoGe3
Method: DFT, PBEsol
State: relaxed

Lattice parameters (Å, degrees): 4.259 4.259 9.740 90.00 90.00 90.00
Atoms (fractional coordinates):
Nd1 0.000 0.000 0.000
Nd2 0.500 0.500 0.500
Co1 0.000 0.000 0.335
Co2 0.500 0.500 0.835
Ge1 0.000 0.000 0.566
Ge2 0.000 0.500 0.242
Ge3 0.000 0.500 0.742
Ge4 0.500 0.000 0.242
Ge5 0.500 0.000 0.742
Ge6 0.500 0.500 0.066

Summary:
Its symmetry is I4mm, No. 107. For the magnetic moment, the calculation gives 0.0000 μB/atom. The calculated formation energy comes out at -0.64 eV per atom. For the uncorrected energy, the calculation gives -6.1869 eV per atom.

8.
Material: MnTe2Au
Method: DFT, PBEsol
State: relaxed

Lattice parameters (Å, degrees): 4.125 5.671 7.630 90.00 90.00 90.00
Atoms (fractional coordinates):
Mn1 0.000 0.000 0.000
Mn2 0.500 0.500 0.000
Te1 0.000 0.500 0.235
Te2 0.000 0.500 0.765
Te3 0.500 0.000 0.235
Te4 0.500 0.000 0.765
Au1 0.000 0.000 0.500
Au2 0.500 0.500 0.500

Summary:
Its symmetry is Cmmm, No. 65. As for the energy above the most stable polymorph in this dataset: 1.21 eV per formula unit. For the magnetic moment, the calculation gives 0.9950 μB/atom. Its energy relative to the elements, uncorrected is 0.34 eV per atom. For the uncorrected energy, the calculation gives -4.8412 eV per atom.

9.
Material: CoCuNi2
Method: DFT, PBEsol
State: relaxed

Lattice parameters (Å, degrees): 8.179 2.459 4.266 90.00 99.97 90.00
Atoms (fractional coordinates):
Co1 0.000 0.000 0.000
Co2 0.500 0.500 0.000
Cu1 0.247 0.000 0.735
Cu2 0.747 0.500 0.735
Ni1 0.246 0.500 0.232
Ni2 0.495 0.000 0.493
Ni3 0.746 0.000 0.232
Ni4 0.995 0.500 0.493

Summary:
Its symmetry is Cm, No. 8. For the magnetic moment, the calculation gives 0.6632 μB/atom. The calculated formation energy comes out at 0.05 eV per atom. For the uncorrected energy, the calculation gives -6.0450 eV per atom.

10.
Material: ReRu2Pt
Method: DFT, PBEsol
State: relaxed

Lattice parameters (Å, degrees): 2.686 3.863 5.393 90.00 90.00 90.00
Atoms (fractional coordinates):
Re1 0.000 0.000 0.000
Ru1 0.000 0.000 0.474
Ru2 0.500 0.500 0.239
Pt1 0.500 0.500 0.737

Summary:
Its symmetry is Pmm2, No. 25. As for the energy above the most stable polymorph in this dataset: 0.05 eV per formula unit. For the magnetic moment, the calculation gives 0.0000 μB/atom. The calculated formation energy comes out at 0.00 eV per atom. For the uncorrected energy, the calculation gives -10.1648 eV per atom.

11.
Material: Tb5Tl3
Method: DFT, PBEsol
State: relaxed

Lattice parameters (Å, degrees): 8.686 8.686 8.686 122.71 122.71 85.37
Atoms (fractional coordinates):
Tb1 0.000 0.000 0.000
Tb2 0.001 0.501 0.807
Tb3 0.194 0.001 0.500
Tb4 0.306 0.806 0.807
Tb5 0.499 0.306 0.500
Tb6 0.500 0.500 0.000
Tb7 0.501 0.694 0.500
Tb8 0.694 0.194 0.193
Tb9 0.806 0.999 0.500
Tb10 0.999 0.499 0.193
Tl1 0.145 0.355 0.500
Tl2 0.250 0.250 0.000
Tl3 0.355 0.855 0.210
Tl4 0.645 0.145 0.790
Tl5 0.750 0.750 0.000
Tl6 0.855 0.645 0.500

Summary:
Its symmetry is I4/mcm, No. 140. As for the energy above the most stable polymorph in this dataset: 0.09 eV per formula unit. For the magnetic moment, the calculation gives 0.0002 μB/atom. The calculated formation energy comes out at -0.34 eV per atom. For the uncorrected energy, the calculation gives -4.4591 eV per atom.

12.
Material: TaSb2Cl
Method: DFT, PBEsol
State: relaxed

Lattice parameters (Å, degrees): 6.985 6.985 6.985 90.00 90.00 90.00
Atoms (fractional coordinates):
Ta1 0.000 0.000 0.000
Ta2 0.000 0.500 0.500
Ta3 0.500 0.000 0.500
Ta4 0.500 0.500 0.000
Sb1 0.250 0.250 0.250
Sb2 0.250 0.250 0.750
Sb3 0.250 0.750 0.250
Sb4 0.250 0.750 0.750
Sb5 0.750 0.250 0.250
Sb6 0.750 0.250 0.750
Sb7 0.750 0.750 0.250
Sb8 0.750 0.750 0.750
Cl1 0.000 0.000 0.500
Cl2 0.000 0.500 0.000
Cl3 0.500 0.000 0.000
Cl4 0.500 0.500 0.500

Summary:
Its symmetry is Fm-3m, No. 225. As for the energy above the most stable polymorph in this dataset: 2.28 eV per formula unit. For the magnetic moment, the calculation gives 0.0000 μB/atom. Its energy relative to the elements, uncorrected is 0.40 eV per atom. For the uncorrected energy, the calculation gives -5.5209 eV per atom.

13.
Material: Li2TaW
Method: DFT, PBEsol
State: relaxed

Lattice parameters (Å, degrees): 2.656 2.656 9.501 90.00 90.00 90.00
Atoms (fractional coordinates):
Li1 0.000 0.000 0.000
Li2 0.500 0.500 0.260
Ta1 0.000 0.000 0.521
W1 0.500 0.500 0.765

Summary:
Its symmetry is P4mm, No. 99. As for the energy above the most stable polymorph in this dataset: 0.53 eV per formula unit. For the magnetic moment, the calculation gives 0.0000 μB/atom. The calculated formation energy comes out at 0.39 eV per atom. For the uncorrected energy, the calculation gives -7.1845 eV per atom.

14.
Material: AlTlPS2
Method: DFT, PBEsol
State: relaxed

Lattice parameters (Å, degrees): 5.045 5.045 5.066 90.00 90.00 90.00
Atoms (fractional coordinates):
Al1 0.000 0.000 0.000
Tl1 0.500 0.500 0.500
P1 0.500 0.500 0.000
S1 0.000 0.500 0.500
S2 0.500 0.000 0.500

Summary:
Its symmetry is P4/mmm, No. 123. For the magnetic moment, the calculation gives 0.1985 μB/atom. Its energy relative to the elements, uncorrected is 0.99 eV per atom. For the uncorrected energy, the calculation gives -3.2664 eV per atom.

15.
Material: Cs2RbHg
Method: DFT, PBEsol
State: relaxed

Lattice parameters (Å, degrees): 10.000 10.000 10.000 90.00 90.00 90.00
Atoms (fractional coordinates):
Cs1 0.250 0.250 0.250
Cs2 0.250 0.250 0.750
Cs3 0.250 0.750 0.250
Cs4 0.250 0.750 0.750
Cs5 0.750 0.250 0.250
Cs6 0.750 0.250 0.750
Cs7 0.750 0.750 0.250
Cs8 0.750 0.750 0.750
Rb1 0.000 0.000 0.000
Rb2 0.000 0.500 0.500
Rb3 0.500 0.000 0.500
Rb4 0.500 0.500 0.000
Hg1 0.000 0.000 0.500
Hg2 0.000 0.500 0.000
Hg3 0.500 0.000 0.000
Hg4 0.500 0.500 0.500

Summary:
Its symmetry is Fm-3m, No. 225. As for the energy above the most stable polymorph in this dataset: 0.15 eV per formula unit. For the magnetic moment, the calculation gives 0.0000 μB/atom. The calculated formation energy comes out at 0.00 eV per atom. For the uncorrected energy, the calculation gives -0.8659 eV per atom.

16.
Material: LiTeBrN2
Method: DFT, PBEsol
State: relaxed

Lattice parameters (Å, degrees): 4.117 4.117 5.625 90.00 90.00 90.00
Atoms (fractional coordinates):
Li1 0.000 0.000 0.000
Te1 0.500 0.500 0.000
Br1 0.500 0.500 0.500
N1 0.000 0.500 0.500
N2 0.500 0.000 0.500

Summary:
Its symmetry is P4/mmm, No. 123. For the magnetic moment, the calculation gives 0.4878 μB/atom. Its energy relative to the elements, uncorrected is 1.69 eV per atom. For the uncorrected energy, the calculation gives -3.1971 eV per atom.

17.
Material: GdB2Ir3
Method: DFT, PBEsol
State: relaxed

Lattice parameters (Å, degrees): 5.455 5.455 3.091 90.00 90.00 120.00
Atoms (fractional coordinates):
Gd1 0.000 0.000 0.000
B1 0.333 0.667 0.000
B2 0.667 0.333 0.000
Ir1 0.000 0.500 0.500
Ir2 0.500 0.000 0.500
Ir3 0.500 0.500 0.500

Summary:
Its symmetry is P6/mmm, No. 191. For the magnetic moment, the calculation gives 1.1705 μB/atom. The calculated formation energy comes out at -0.70 eV per atom. For the uncorrected energy, the calculation gives -10.3568 eV per atom.

18.
Material: CuHgOF2
Method: DFT, PBEsol
State: relaxed

Lattice parameters (Å, degrees): 3.872 3.872 3.925 90.00 90.00 90.00
Atoms (fractional coordinates):
Cu1 0.000 0.000 0.000
Hg1 0.500 0.500 0.500
O1 0.000 0.000 0.500
F1 0.000 0.500 0.000
F2 0.500 0.000 0.000

Summary:
Its symmetry is P4/mmm, No. 123. For the magnetic moment, the calculation gives 0.0000 μB/atom. Its energy relative to the elements, uncorrected is -0.85 eV per atom. For the uncorrected energy, the calculation gives -3.6525 eV per atom.

19.
Material: ZrZn2Pt
Method: DFT, PBEsol
State: relaxed

Lattice parameters (Å, degrees): 3.868 3.868 4.316 90.00 90.00 90.00
Atoms (fractional coordinates):
Zr1 0.000 0.000 0.000
Zn1 0.000 0.500 0.500
Zn2 0.500 0.000 0.500
Pt1 0.500 0.500 0.000

Summary:
Its symmetry is P4/mmm, No. 123. For the magnetic moment, the calculation gives 0.0000 μB/atom. The calculated formation energy comes out at -0.48 eV per atom. For the uncorrected energy, the calculation gives -5.2856 eV per atom.

20.
Material: CaTaSb2
Method: DFT, PBEsol
State: relaxed

Lattice parameters (Å, degrees): 7.113 7.113 7.113 90.00 90.00 90.00
Atoms (fractional coordinates):
Ca1 0.000 0.000 0.000
Ca2 0.000 0.500 0.500
Ca3 0.500 0.000 0.500
Ca4 0.500 0.500 0.000
Ta1 0.000 0.000 0.500
Ta2 0.000 0.500 0.000
Ta3 0.500 0.000 0.000
Ta4 0.500 0.500 0.500
Sb1 0.250 0.250 0.250
Sb2 0.250 0.250 0.750
Sb3 0.250 0.750 0.250
Sb4 0.250 0.750 0.750
Sb5 0.750 0.250 0.250
Sb6 0.750 0.250 0.750
Sb7 0.750 0.750 0.250
Sb8 0.750 0.750 0.750

Summary:
Its symmetry is Fm-3m, No. 225. As for the energy above the most stable polymorph in this dataset: 0.92 eV per formula unit. For the magnetic moment, the calculation gives 0.3807 μB/atom. Its energy relative to the elements, uncorrected is -0.10 eV per atom. For the uncorrected energy, the calculation gives -6.0497 eV per atom.